## K17Cd11Au (GGA-PBE)

Data for a relaxed structure of K17Cd11Au.

Summary:
- Size of the total moment: 0.00 μB per formula unit
- Energy of formation: -41 meV per atom
- Total DFT energy (no corrections): -1.14 eV/atom

abc: 13.6458 17.5934 11.1390
angles: 90.00 114.98 90.00
Space group Cm (No. 8)
Inequivalent atoms, fractional coordinates:
K  0.0000  0.0000  0.0000
K  0.0004  0.0000  0.3804
K  0.0228  0.3040  0.7256
K  0.1699  0.1809  0.5760
K  0.1853  0.1821  0.0005
K  0.2116  0.5000  0.7115
K  0.2225  0.5000  0.3275
K  0.2869  0.2912  0.3480
K  0.3507  0.0000  0.6124
K  0.4558  0.1129  0.9998
K  0.4708  0.1179  0.3486
Cd  0.1771  0.0000  0.8199
Cd  0.1989  0.0863  0.2884
Cd  0.2694  0.4107  0.0421
Cd  0.3604  0.3194  0.8607
Cd  0.4493  0.4086  0.6813
Cd  0.4903  0.3174  0.1762
Au  0.2780  0.0000  0.1109